This record from Alexandria describes an optimized crystal structure of LiFeCl2. The functional is PBE-GGA.

It has space group Immm (No. 71), with a = 3.4475 Å, b = 6.8822 Å, c = 7.5366 Å, α = 90.00°, β = 90.00° and γ = 90.00°. The inequivalent atoms are Li at (0.0000, 0.0000, 0.0000), Fe at (0.0000, 0.5000, 0.0000) and Cl at (0.0000, 0.2425, 0.5000).

The value obtained for the relative energy among the computed polymorphs is 0.1266 eV/atom. For the total energy, the calculation gives -0.3054 Ry per atom. The size of the total moment comes out at 6.00 Bohr magnetons per cell. Its volume is 22.4 Å³/atom. As for the formation energy without anion corrections: -0.6371 eV/atom.